No. 1
DFT (PBE) results for a geometry-optimized LiCdBi structure.

```
9
Lattice="8.132 0.000 0.000 -4.066 7.042 0.000 0.000 0.000 3.895" Properties=species:S:1:pos:R:3 pbc="T T T"
Li -2.489 4.312 0.000
Li 1.576 2.731 0.000
Li 4.979 0.000 0.000
Cd 0.000 0.000 0.000
Cd 0.000 4.695 1.947
Cd 4.066 2.347 1.947
Bi -1.171 2.028 1.947
Bi 2.342 0.000 1.947
Bi 2.895 5.014 1.947
```

Computed properties:
As for the crystal system: hexagonal. As for the space group: P-62m.

No. 2
DFT (PBE) results for a geometry-optimized LiCdBi structure.

```
6
Lattice="4.826 0.000 0.000 -2.413 4.179 0.000 0.000 0.000 7.746" Properties=species:S:1:pos:R:3 pbc="T T T"
Li 0.000 0.000 0.000
Li 0.000 0.000 3.873
Cd 0.000 2.786 2.370
Cd 2.413 1.393 6.243
Bi 0.000 2.786 5.336
Bi 2.413 1.393 1.463
```

Computed properties:
As for the crystal system: hexagonal. As for the space group: P6_3mc.

No. 3
DFT (PBE) results for a geometry-optimized Li2CdBi structure.

```
4
Lattice="0.000 3.542 3.542 3.542 0.000 3.542 3.542 3.542 0.000" Properties=species:S:1:pos:R:3 pbc="T T T"
Li 0.000 0.000 0.000
Li 1.771 1.771 1.771
Cd 5.313 5.313 5.313
Bi 3.542 3.542 3.542
```

Computed properties:
As for the crystal system: cubic. As for the space group: F-43m.

Number 1: density 7.333 g/cm3, VASP energy -21.96 eV/cell. Number 2: density 6.979 g/cm3, VASP energy -15.13 eV/cell. Number 3: density 6.264 g/cm3, VASP energy -9.70 eV/cell.